Material: CePr14Sm
Method: DFT, PBE
State: relaxed

Geometry as POSCAR:
```
CePr14Sm
1.0
7.324 0.982 0.000
-0.983 7.324 0.000
0.000 0.000 10.491
Pr Sm Ce
14 1 1
Cartesian
4.222 3.350 2.598 Pr
5.797 5.442 5.246 Pr
0.041 6.542 2.588 Pr
4.222 3.350 7.893 Pr
5.793 5.431 0.000 Pr
3.727 7.036 7.899 Pr
3.727 7.036 2.593 Pr
0.537 2.856 2.593 Pr
2.629 1.287 0.000 Pr
2.132 4.946 5.246 Pr
0.041 6.542 7.903 Pr
6.284 1.777 5.246 Pr
0.537 2.856 7.899 Pr
2.620 1.280 5.246 Pr
2.133 4.945 0.000 Sm
6.288 1.773 0.000 Ce
```

Density (g cm⁻³): 6.56
Size of the total moment (Bohr magnetons per cell): 1.3
Electronic total energy (Ry per atom): -0.354
Formation energy (kcal/mol of atoms): 0.7